Below is a geometry-optimized Mn6OF11 structure, with properties calculated at the PBE with a Hubbard U level.

a b c (Å): 5.9150 5.9150 7.6280
angles (deg): 105.86 105.86 72.72
Last column: nearest neighbours and their distance in Å.
Element x y z (fractional)
Mn: 0.0000 0.0000 0.0000  1 O 1.86, 1 F 2.07
Mn: 0.0037 0.0037 0.4691  1 O 2.06, 4 F 2.13-2.14
Mn: 0.3349 0.3349 0.8312  6 F 2.13-2.19
Mn: 0.3418 0.3418 0.3228  6 F 2.11-2.18
Mn: 0.6728 0.6728 0.6539  6 F 2.10-2.17
Mn: 0.6874 0.6874 0.1473  1 O 2.05, 5 F 2.14-2.19
O: 0.9107 0.9107 0.1826  3 Mn 1.86-2.06
F: 0.0337 0.6479 0.8294  3 Mn 2.12-2.17
F: 0.0968 0.0968 0.7952  2 Mn 2.07-2.19
F: 0.2402 0.2402 0.5334  3 Mn 2.14
F: 0.3093 0.7029 0.4921  3 Mn 2.13-2.16
F: 0.3609 0.9798 0.1490  3 Mn 2.11-2.18
F: 0.4514 0.4514 0.1244  3 Mn 2.11-2.19
F: 0.5664 0.5664 0.8538  3 Mn 2.10-2.15
F: 0.6479 0.0337 0.8294  3 Mn 2.12-2.17
F: 0.7029 0.3093 0.4921  3 Mn 2.13-2.16
F: 0.7735 0.7735 0.4483  3 Mn 2.10-2.16
F: 0.9798 0.3609 0.1490  3 Mn 2.11-2.18

Calculated total energy in eV per cell: -116.22